{"formula": "MnAgO3", "functional": "PBE with a Hubbard U", "state": "optimized geometry", "lattice": [[3.9572, 0.0000, 0.0000], [0.0000, 3.9572, 0.0000], [0.0000, 0.0000, 3.9572]], "species": ["Mn", "Ag", "O", "O", "O"], "frac_coords": [[0.0000, 0.0000, 0.0000], [0.5000, 0.5000, 0.5000], [0.0000, 0.5000, 0.5000], [0.5000, 0.0000, 0.5000], [0.5000, 0.5000, 0.0000]], "total_energy_ev_per_atom": -4.985}